[1]
Computed, not measured: crystalline MnV4S8 at its relaxed geometry at the PBE level of DFT.

```
MnV4S8
1.0
5.6514 -3.3321 0.0000
5.6514 3.3321 0.0000
-5.4907 0.0000 5.6770
Mn V S
1 4 8
direct
0.0000 0.0000 0.0000
0.2702 0.2702 0.0363
0.2937 0.7063 0.5000
0.7063 0.2937 0.5000
0.7298 0.7298 0.9637
0.0186 0.0186 0.3238
0.0399 0.5345 0.8230
0.4457 0.4457 0.6703
0.4655 0.9601 0.1770
0.5345 0.0399 0.8230
0.5543 0.5543 0.3297
0.9601 0.4655 0.1770
0.9814 0.9814 0.6762
```

distance to the lowest polymorph of the same formula = 0 meV per atom
SG = C2/m, No. 12
uncorrected formation energy = -0.88 eV per atom
D(E_F) = 7.9 states/eV/f.u.

---

[2]
Computed, not measured: crystalline MnV2S6 at its relaxed geometry at the PBE level of DFT.

```
MnV2S6
1.0
7.9304 -1.6165 0.0000
7.9304 1.6165 0.0000
-2.8902 0.0000 6.8710
Mn V S
1 2 6
direct
0.0000 0.0000 0.0000
0.3266 0.3266 0.6512
0.6734 0.6734 0.3488
0.1591 0.1591 0.1052
0.1698 0.1698 0.5758
0.4914 0.4914 0.7702
0.5086 0.5086 0.2298
0.8302 0.8302 0.4242
0.8409 0.8409 0.8948
```

distance to the lowest polymorph of the same formula = 0 meV per atom
SG = C2/m, No. 12
uncorrected formation energy = -0.74 eV per atom
D(E_F) = 3.5 states/eV/f.u.

---

[3]
Computed, not measured: crystalline MnW2S at its relaxed geometry at the PBE level of DFT.

```
MnW2S
1.0
-1.8517 1.8517 9.3090
1.8517 -1.8517 9.3090
1.8517 1.8517 -9.3090
Mn W S
2 4 2
direct
0.0000 0.0000 0.0000
0.7500 0.2500 0.5000
0.1271 0.6250 0.0021
0.3750 0.3771 0.5021
0.6229 0.1250 0.9979
0.8750 0.8729 0.4979
0.2500 0.7500 0.5000
0.5000 0.5000 0.0000
```

SG = I-42d, No. 122
uncorrected formation energy = 0.67 eV per atom
D(E_F) = 2.6 states/eV/f.u.

---

[4]
Computed, not measured: crystalline MnW2S2 at its relaxed geometry at the PBE level of DFT.

```
MnW2S2
1.0
7.0073 0.0000 0.0000
0.0000 7.0073 0.0000
0.0000 0.0000 2.9920
Mn W S
2 4 4
direct
0.0000 0.0000 0.0000
0.5000 0.5000 0.0000
0.1479 0.3521 0.0000
0.3521 0.8521 0.0000
0.6479 0.1479 0.0000
0.8521 0.6479 0.0000
0.1480 0.6480 0.5000
0.3520 0.1480 0.5000
0.6480 0.8520 0.5000
0.8520 0.3520 0.5000
```

distance to the lowest polymorph of the same formula = 54 meV per atom
SG = P4/mbm, No. 127
uncorrected formation energy = 0.45 eV per atom
D(E_F) = 3.7 states/eV/f.u.

---

no.,electronic total energy (eV/atom)
1,-6.9281
2,-6.5382
3,-9.1333
4,-8.2204